## Fe2MoHIr (GGA-PBE)

Data for crystalline Fe2MoHIr at its relaxed geometry.

abc: 3.7711 3.7711 3.7306
angles: 90.00 90.00 90.00
Last column: nearest neighbours and their distance in Å.
Space group P4/mmm (No. 123)
Symmetry-distinct sites (fractional):
Fe  0.0000  0.5000  0.0000 (multiplicity 2)  2 H 1.89
Mo  0.0000  0.0000  0.5000 (multiplicity 1)  8 Fe 2.65, 4 Ir 2.67
H  0.5000  0.5000  0.0000 (multiplicity 1)  2 Ir 1.87, 4 Fe 1.89
Ir  0.5000  0.5000  0.5000 (multiplicity 1)  2 H 1.87

## Properties
relative energy among the computed polymorphs: 6.1 meV per atom
total magnetic moment: 0.00 Bohr magnetons per cell

## BaSr2Cu6 (GGA-PBE)

Data for crystalline BaSr2Cu6 at its relaxed geometry.

abc: 13.0164 8.9715 4.0485
angles: 90.00 108.04 90.00
Last column: nearest neighbours and their distance in Å.
Space group C2/m (No. 12)
Symmetry-distinct sites (fractional):
Ba  0.0000  0.0000  0.0000 (multiplicity 2)  12 Cu 3.42-3.80
Sr  0.1468  0.5000  0.1474 (multiplicity 4)  10 Cu 2.98-3.22
Cu  0.0000  0.3078  0.5000 (multiplicity 4)  2 Cu 2.42
Cu  0.1900  0.2438  0.6903 (multiplicity 8)  3 Cu 2.42-2.51

## Properties
ΔE_f: 0.10 eV/atom
total magnetic moment: 0.00 Bohr magnetons per cell

## Re2SiCl (GGA-PBE)

Data for crystalline Re2SiCl at its relaxed geometry.

abc: 2.9220 2.9220 7.8579
angles: 90.00 90.00 90.00
Last column: nearest neighbours and their distance in Å.
Space group P4mm (No. 99)
Symmetry-distinct sites (fractional):
Re  0.0000  0.0000  0.0000 (multiplicity 1)  8 Re 2.66-2.92, 4 Cl 2.72
Re  0.5000  0.5000  0.2132 (multiplicity 1)  4 Si 2.60, 4 Re 2.66
Si  0.0000  0.0000  0.4146 (multiplicity 1)  4 Re 2.60
Cl  0.5000  0.5000  0.7757 (multiplicity 1)  4 Re 2.72, 4 Cl 2.92

## Properties
relative energy among the computed polymorphs: 0.0 meV per atom
total magnetic moment: 0.00 Bohr magnetons per cell

## CeSm2Dy2Er2 (GGA-PBE)

Data for crystalline CeSm2Dy2Er2 at its relaxed geometry.

abc: 17.2294 3.4455 8.7764
angles: 90.00 119.95 90.00
Last column: nearest neighbours and their distance in Å.
Space group C2/m (No. 12)
Symmetry-distinct sites (fractional):
Ce  0.0000  0.0000  0.0000 (multiplicity 2)  2 Ce 3.45, 4 Dy 3.60, 4 Sm 3.84, 4 Er 3.85
Sm  0.1515  0.5000  0.4433 (multiplicity 4)  2 Dy 3.32-3.43, 3 Er 3.43-3.57, 4 Sm 3.45-3.48
Dy  0.0690  0.5000  0.7270 (multiplicity 4)  3 Er 3.31-3.57, 2 Sm 3.32-3.43, 3 Dy 3.45-3.47, 2 Ce 3.60
Er  0.2264  0.5000  0.1470 (multiplicity 4)  3 Dy 3.31-3.57, 3 Sm 3.43-3.57, 4 Er 3.45-3.52

## Properties
ΔE_f: 0.14 eV/atom
total magnetic moment: 2.05 Bohr magnetons per cell

## Cs2MgScI6 (GGA-PBE)

Data for crystalline Cs2MgScI6 at its relaxed geometry.

abc: 8.4998 8.4998 42.1929
angles: 90.00 90.00 120.00
Last column: nearest neighbours and their distance in Å.
Space group R-3m (No. 166, hexagonal axes)
Symmetry-distinct sites (fractional):
Cs  0.0000  0.0000  0.1207 (multiplicity 6)  12 I 4.11-4.47
Cs  0.0000  0.0000  0.2966 (multiplicity 6)  12 I 4.15-4.51
Mg  0.0000  0.0000  0.0000 (multiplicity 3)  6 I 3.06
Mg  0.0000  0.0000  0.5000 (multiplicity 3)  6 I 2.95
Sc  0.0000  0.0000  0.4163 (multiplicity 6)  6 I 2.97
I  0.0024  0.5012  0.2905 (multiplicity 18)  1 Sc 2.97, 1 Mg 3.06
I  0.0102  0.5051  0.1253 (multiplicity 18)  1 Mg 2.95, 1 Sc 2.97

## Properties
E_tot: -187.44 eV/cell
total magnetic moment: 6.13 Bohr magnetons per cell

## Pm2InTe (GGA-PBE)

Data for crystalline Pm2InTe at its relaxed geometry.

abc: 4.1646 4.1646 25.6902
angles: 90.00 90.00 120.00
Last column: nearest neighbours and their distance in Å.
Space group R3m (No. 160, hexagonal axes)
Symmetry-distinct sites (fractional):
Pm  0.0000  0.0000  0.0000 (multiplicity 3)  3 Te 3.15, 3 In 3.32
Pm  0.0000  0.0000  0.1770 (multiplicity 3)  3 Te 3.12, 3 In 3.30
In  0.0000  0.0000  0.7558 (multiplicity 3)  6 Pm 3.30-3.32
Te  0.0000  0.0000  0.5875 (multiplicity 3)  6 Pm 3.12-3.15

## Properties
relative energy among the computed polymorphs: 171.4 meV per atom
total magnetic moment: 0.00 Bohr magnetons per cell

## Pr7SmRh2 (GGA-PBE)

Data for crystalline Pr7SmRh2 at its relaxed geometry.

abc: 9.0259 14.7418 5.4708
angles: 90.00 90.00 90.00
Last column: nearest neighbours and their distance in Å.
Space group Cmmm (No. 65)
Symmetry-distinct sites (fractional):
Pr  0.0000  0.0000  0.0000 (multiplicity 2)  2 Rh 2.89
Pr  0.0000  0.2109  0.5000 (multiplicity 4)  2 Rh 2.74
Pr  0.1873  0.3672  0.0000 (multiplicity 8)  2 Rh 2.97-3.04
Sm  0.0000  0.5000  0.5000 (multiplicity 2)  8 Pr 3.76
Rh  0.0000  0.1960  0.0000 (multiplicity 4)  7 Pr 2.74-3.04

## Properties
ΔE_f: -0.07 eV/atom
total magnetic moment: 0.01 Bohr magnetons per cell

## CoHg2Rh2 (GGA-PBE)

Data for crystalline CoHg2Rh2 at its relaxed geometry.

abc: 6.3953 6.3953 4.3152
angles: 90.00 90.00 90.00
Last column: nearest neighbours and their distance in Å.
Space group P4/mbm (No. 127)
Symmetry-distinct sites (fractional):
Co  0.0000  0.0000  0.0000 (multiplicity 2)  4 Rh 2.47
Hg  0.1700  0.3300  0.5000 (multiplicity 4)  6 Rh 2.76-2.94, 1 Hg 3.08
Rh  0.1403  0.6403  0.0000 (multiplicity 4)  2 Co 2.47, 1 Rh 2.54, 2 Hg 2.76

## Properties
ΔE_f: 0.31 eV/atom
total magnetic moment: 5.97 Bohr magnetons per cell

## SrRuW (GGA-PBE)

Data for crystalline SrRuW at its relaxed geometry.

abc: 6.5518 6.5518 6.5518
angles: 90.00 90.00 90.00
Last column: nearest neighbours and their distance in Å.
Space group F-43m (No. 216)
Symmetry-distinct sites (fractional):
Sr  0.0000  0.0000  0.0000 (multiplicity 4)  4 Ru 2.84, 4 W 2.84
Ru  0.2500  0.2500  0.7500 (multiplicity 4)  4 Sr 2.84
W  0.2500  0.2500  0.2500 (multiplicity 4)  4 Sr 2.84

## Properties
relative energy among the computed polymorphs: 2093.9 meV per atom
ΔE_f: 2.62 eV/atom
total magnetic moment: 5.52 Bohr magnetons per cell

## BePb2S2 (GGA-PBE)

Data for crystalline BePb2S2 at its relaxed geometry.

abc: 5.3696 5.3696 10.8578
angles: 90.00 90.00 90.00
Last column: nearest neighbours and their distance in Å.
Space group I4/mmm (No. 139)
Symmetry-distinct sites (fractional):
Be  0.0000  0.0000  0.0000 (multiplicity 2)  10 S 3.73-4.16, 8 Pb 3.82
Pb  0.0000  0.5000  0.2500 (multiplicity 4)  4 S 2.87
S  0.0000  0.0000  0.3431 (multiplicity 4)  4 Pb 2.87

## Properties
relative energy among the computed polymorphs: 536.5 meV per atom
total magnetic moment: 0.00 Bohr magnetons per cell

## HgIr2Au (GGA-PBE)

Data for crystalline HgIr2Au at its relaxed geometry.

abc: 2.8461 2.8461 8.4206
angles: 90.00 90.00 90.00
Last column: nearest neighbours and their distance in Å.
Space group P4mm (No. 99)
Symmetry-distinct sites (fractional):
Hg  0.0000  0.0000  0.0000 (multiplicity 1)  4 Hg 2.85, 4 Ir 2.99, 4 Au 3.11
Ir  0.0000  0.0000  0.4676 (multiplicity 1)  8 Ir 2.65-2.85, 4 Au 2.92
Ir  0.5000  0.5000  0.2633 (multiplicity 1)  8 Ir 2.65-2.85
Au  0.5000  0.5000  0.7183 (multiplicity 1)  4 Au 2.85, 4 Ir 2.92, 4 Hg 3.11

## Properties
ΔE_f: 0.27 eV/atom
total magnetic moment: 0.00 Bohr magnetons per cell

## Y3SnSe2 (GGA-PBE)

Data for crystalline Y3SnSe2 at its relaxed geometry.

abc: 7.2897 12.6218 7.2789
angles: 90.00 109.46 90.00
Last column: nearest neighbours and their distance in Å.
Space group C2/c (No. 15)
Symmetry-distinct sites (fractional):
Y  0.2416  0.0857  0.4969 (multiplicity 8)  4 Se 2.93-2.97, 2 Sn 3.01
Y  0.2500  0.2500  0.0000 (multiplicity 4)  4 Se 2.97, 2 Sn 2.99
Sn  0.0000  0.4185  0.7500 (multiplicity 4)  6 Y 2.99-3.01
Se  0.0000  0.0836  0.7500 (multiplicity 4)  6 Y 2.94-2.97
Se  0.0000  0.2517  0.2500 (multiplicity 4)  6 Y 2.93-2.97

## Properties
relative energy among the computed polymorphs: 0.0 meV per atom
total magnetic moment: 0.00 Bohr magnetons per cell